# 1
The following is a PBE calculation of RbCd8Au2 after structural relaxation, from Alexandria.

a b c (Å): 6.071 6.071 10.270
angles (deg): 90.00 90.00 90.00
Fractional positions:
Rb: 0.000 0.000 0.000
Cd: 0.251 0.251 0.312
Cd: 0.251 0.251 0.688
Cd: 0.251 0.749 0.312
Cd: 0.251 0.749 0.688
Cd: 0.749 0.251 0.312
Cd: 0.749 0.251 0.688
Cd: 0.749 0.749 0.312
Cd: 0.749 0.749 0.688
Au: 0.000 0.500 0.500
Au: 0.500 0.000 0.500

Energy, eV/atom: -1.3238
V, A^3/atom: 34.41



# 2
The following is a PBE calculation of TiZn2Ru2 after structural relaxation, from Alexandria.

a b c (Å): 6.742 6.742 3.323
angles (deg): 90.00 90.00 90.00
Fractional positions:
Ti: 0.000 0.000 0.000
Ti: 0.500 0.500 0.000
Zn: 0.151 0.349 0.500
Zn: 0.349 0.849 0.500
Zn: 0.651 0.151 0.500
Zn: 0.849 0.651 0.500
Ru: 0.148 0.648 0.000
Ru: 0.352 0.148 0.000
Ru: 0.648 0.852 0.000
Ru: 0.852 0.352 0.000

Energy, eV/atom: -5.8196
V, A^3/atom: 15.11
E above lowest polymorph, eV/f.u.: 0.37



# 3
The following is a PBE calculation of Cu2GeH after structural relaxation, from Alexandria.

a b c (Å): 4.061 4.061 4.061
angles (deg): 60.00 60.00 60.00
Fractional positions:
Cu: 0.250 0.250 0.250
Cu: 0.750 0.750 0.750
Ge: 0.000 0.000 0.000
H: 0.500 0.500 0.500

Energy, eV/atom: -3.5100
V, A^3/atom: 11.84
E above lowest polymorph, eV/f.u.: 1.21



Please write out number 3 again, unchanged.
The following is a PBE calculation of Cu2GeH after structural relaxation, from Alexandria.

a b c (Å): 4.061 4.061 4.061
angles (deg): 60.00 60.00 60.00
Fractional positions:
Cu: 0.250 0.250 0.250
Cu: 0.750 0.750 0.750
Ge: 0.000 0.000 0.000
H: 0.500 0.500 0.500

Energy, eV/atom: -3.5100
V, A^3/atom: 11.84
E above lowest polymorph, eV/f.u.: 1.21